1.
VASP calculation (meta-GGA SCAN) on KCaPb4 at its PBEsol-relaxed geometry.

a = 9.212 Å, b = 9.212 Å, c = 9.212 Å
α = 90.00°, β = 90.00°, γ = 90.00°
Space group F-43m (No. 216)
Inequivalent atoms, fractional coordinates:
K  0.000  0.000  0.000
Ca  0.250  0.250  0.750
Pb  0.124  0.124  0.376

Output
- ΔE_f (eV per atom) = -0.347
- D(E_F) (states/eV/atom) = 0.755
- total energy (eV per atom) = -53.867
- magnetization (μB/f.u.) = 0.00

---

2.
VASP calculation (meta-GGA SCAN) on Ba2FeCl at its PBEsol-relaxed geometry.

a = 4.2733 Å, b = 4.2733 Å, c = 24.9216 Å
α = 90.00°, β = 90.00°, γ = 120.00°
Space group R-3m (No. 166, hexagonal axes)
Inequivalent atoms, fractional coordinates:
Ba  0.0000  0.0000  0.2455
Fe  0.0000  0.0000  0.5000
Cl  0.0000  0.0000  0.0000

Output
- D(E_F) (states/eV/atom) = 1.190
- excess energy over the best structure of this formula in the dataset (eV per atom) = 0.002
- total energy (eV per atom) = -26.848
- formation energy from raw total energies (eV/atom) = -0.55
- magnetization (μB/f.u.) = 1.26